Compound: Zn2AsW
Source: Alexandria via LeMat-Bulk
Functional: GGA-PBEsol
Structure: relaxed

abc: 3.0178 3.0178 8.2272
angles: 79.43 79.43 60.00
Element x y z (fractional)
1 Zn 0.7478 0.7478 0.7565
2 Zn 0.0007 0.0007 0.9979
3 As 0.5049 0.5049 0.4852
4 W 0.2465 0.2465 0.2604

Values from the calculation:
Calculated density = 10.20 g/cm³
E = -5.300 eV per atom
Space group = R3m (160)
Formation enthalpy at 0 K = 219 meV/atom